# 1
# CdOs2Pb

A geometry-optimized CdOs2Pb structure (PBE, Alexandria).

## Properties
SG = I-4m2 (119)
DOS at the Fermi energy = 1.132 states/eV/atom
offset from the most stable computed form = 647 meV/atom
formation energy from the elements = 1.064 eV/atom
DFT total energy = -5.71 eV per atom

abc: 5.0960 5.0960 5.0960
angles: 131.84 131.84 70.48
With the nearest neighbours (Å) after each atom.
Positions (direct):
Pb (0.5000, 0.5000, 0.0000)  8 Os 2.94, 4 Cd 2.94
Cd (0.7500, 0.2500, 0.5000)  8 Os 2.94, 4 Pb 2.94
Os (0.2500, 0.7500, 0.5000)  4 Cd 2.94, 4 Pb 2.94, 4 Os 2.94
Os (0.0000, 0.0000, 0.0000)  4 Pb 2.94, 4 Cd 2.94, 4 Os 2.94

***

# 2
# CdOs2Pb

A geometry-optimized CdOs2Pb structure (PBE, Alexandria).

## Properties
SG = C2/m (12)
DOS at the Fermi energy = 0.817 states/eV/atom
offset from the most stable computed form = 497 meV/atom
formation energy from the elements = 0.915 eV/atom
DFT total energy = -5.86 eV per atom

abc: 4.9829 4.9829 5.5871
angles: 74.43 74.43 35.07
With the nearest neighbours (Å) after each atom.
Positions (direct):
Pb (0.7500, 0.7500, 0.7500)  4 Os 2.85, 2 Pb 3.00, 4 Cd 3.17
Os (0.0103, 0.0103, 0.0515)  2 Os 2.64, 3 Cd 2.80-2.84, 2 Pb 2.85
Os (0.4897, 0.4897, 0.4485)  2 Os 2.64, 3 Cd 2.80-2.84, 2 Pb 2.85
Cd (0.2500, 0.2500, 0.2500)  6 Os 2.80-2.84, 2 Cd 3.00

***

# 3
# CdOs2Pb

A geometry-optimized CdOs2Pb structure (PBE, Alexandria).

## Properties
SG = Amm2 (38)
DOS at the Fermi energy = 0.420 states/eV/atom
offset from the most stable computed form = 0 meV/atom
formation energy from the elements = 0.417 eV/atom
DFT total energy = -6.35 eV per atom

abc: 2.9828 2.9600 8.9683
angles: 80.46 90.00 90.00
With the nearest neighbours (Å) after each atom.
Positions (direct):
Cd (0.5000, 0.5373, 0.8022)  4 Os 2.91-2.92, 4 Cd 2.96-2.98
Os (0.0000, 0.9222, 0.0307)  4 Os 2.62, 4 Cd 2.91-2.92
Os (0.5000, 0.3331, 0.2082)  4 Os 2.62
Pb (0.0000, 0.7074, 0.4588)  4 Pb 2.96-2.98, 4 Os 3.05

***

# 4
# CdOs2Pb

A geometry-optimized CdOs2Pb structure (PBE, Alexandria).

## Properties
SG = P4/mmm (123)
DOS at the Fermi energy = 1.551 states/eV/atom
offset from the most stable computed form = 675 meV/atom
formation energy from the elements = 1.092 eV/atom
DFT total energy = -5.68 eV per atom

abc: 4.0200 4.2252 4.2252
angles: 90.00 90.00 90.00
With the nearest neighbours (Å) after each atom.
Positions (direct):
Cd (0.5000, 0.0000, 0.5000)  8 Os 2.92, 4 Pb 2.99
Os (0.0000, 0.5000, 0.5000)  4 Cd 2.92, 4 Pb 2.92, 4 Os 2.99
Os (0.0000, 0.0000, 0.0000)  4 Cd 2.92, 4 Pb 2.92, 4 Os 2.99
Pb (0.5000, 0.5000, 0.0000)  8 Os 2.92, 4 Cd 2.99

***

# 5
# Cd3OsPb

A geometry-optimized Cd3OsPb structure (PBE, Alexandria).

## Properties
SG = Pm-3m (221)
DOS at the Fermi energy = 0.668 states/eV/atom
formation energy from the elements = 0.692 eV/atom
DFT total energy = -2.84 eV per atom

abc: 5.2068 5.2068 5.2068
angles: 90.00 90.00 90.00
With the nearest neighbours (Å) after each atom.
Positions (direct):
Cd (0.5000, 0.0000, 0.0000)  2 Os 2.60
Cd (0.0000, 0.5000, 0.0000)  2 Os 2.60
Cd (0.0000, 0.0000, 0.5000)  2 Os 2.60
Os (0.0000, 0.0000, 0.0000)  6 Cd 2.60
Pb (0.5000, 0.5000, 0.5000)  12 Cd 3.68

***

# 6
# Cd2OsPb

A geometry-optimized Cd2OsPb structure (PBE, Alexandria).

## Properties
SG = I4/mmm (139)
DOS at the Fermi energy = 0.411 states/eV/atom
formation energy from the elements = 0.595 eV/atom
DFT total energy = -3.60 eV per atom

abc: 5.5425 5.5425 5.5425
angles: 136.35 136.25 63.51
With the nearest neighbours (Å) after each atom.
Positions (direct):
Cd (0.5002, 0.5002, 0.0000)  4 Cd 2.92, 4 Os 3.13, 4 Pb 3.13
Cd (0.9998, 0.9998, 0.0000)  4 Cd 2.92, 4 Os 3.13, 4 Pb 3.13
Os (0.7500, 0.2500, 0.5000)  4 Pb 2.92, 8 Cd 3.13
Pb (0.2500, 0.7500, 0.5000)  4 Os 2.92, 8 Cd 3.13

***

# 7
# Cd2OsPb

A geometry-optimized Cd2OsPb structure (PBE, Alexandria).

## Properties
SG = Cmmm (65)
DOS at the Fermi energy = 0.634 states/eV/atom
formation energy from the elements = 0.638 eV/atom
DFT total energy = -3.55 eV per atom

abc: 3.0350 3.0350 10.8179
angles: 90.00 90.00 119.12
With the nearest neighbours (Å) after each atom.
Positions (direct):
Os (0.5000, 0.5000, 0.2500)  4 Cd 2.81, 6 Os 3.03-3.08
Cd (0.0000, 0.0000, 0.4675)  2 Os 2.81, 6 Cd 3.03-3.08
Cd (0.0000, 0.0000, 0.0325)  2 Os 2.81, 6 Cd 3.03-3.08
Pb (0.5000, 0.5000, 0.7500)  6 Pb 3.03-3.08

***

# 8
# Cd2OsPb

A geometry-optimized Cd2OsPb structure (PBE, Alexandria).

## Properties
SG = I-4m2 (119)
DOS at the Fermi energy = 0.607 states/eV/atom
formation energy from the elements = 0.637 eV/atom
DFT total energy = -3.56 eV per atom

abc: 5.2854 5.2854 5.2854
angles: 131.67 131.67 70.75
With the nearest neighbours (Å) after each atom.
Positions (direct):
Pb (0.7500, 0.2500, 0.5000)  8 Cd 3.05-3.06, 4 Os 3.05
Os (0.5000, 0.5000, 0.0000)  8 Cd 3.05-3.06, 4 Pb 3.05
Cd (0.2500, 0.7500, 0.5000)  4 Cd 3.05, 4 Os 3.05, 4 Pb 3.06
Cd (0.0000, 0.0000, 0.0000)  4 Cd 3.05, 4 Pb 3.05, 4 Os 3.06

***

Question: The lowest formation energy from the elements belongs to which entry?
Answer: number 3

***

Question: What is the DOS at the Fermi energy in the seventh record?
Answer: 0.634 states/eV/atom